Below is crystalline Pm3Ge3Rh2 at its relaxed geometry, with properties calculated at the GGA-PBE level.

Unit cell a=8.130 b=14.529 c=5.880 alpha=90.00 beta=90.00 gamma=90.00
Positions (direct):
Pm (0.039, 0.111, 0.127)
Pm (0.039, 0.389, 0.127)
Pm (0.185, 0.250, 0.634)
Pm (0.315, 0.750, 0.134)
Pm (0.461, 0.611, 0.627)
Pm (0.461, 0.889, 0.627)
Pm (0.539, 0.111, 0.373)
Pm (0.539, 0.389, 0.373)
Pm (0.685, 0.250, 0.866)
Pm (0.815, 0.750, 0.366)
Pm (0.961, 0.611, 0.873)
Pm (0.961, 0.889, 0.873)
Ge (0.169, 0.750, 0.607)
Ge (0.196, 0.039, 0.624)
Ge (0.196, 0.461, 0.624)
Ge (0.304, 0.539, 0.124)
Ge (0.304, 0.961, 0.124)
Ge (0.331, 0.250, 0.107)
Ge (0.669, 0.750, 0.893)
Ge (0.696, 0.039, 0.876)
Ge (0.696, 0.461, 0.876)
Ge (0.804, 0.539, 0.376)
Ge (0.804, 0.961, 0.376)
Ge (0.831, 0.250, 0.393)
Rh (0.088, 0.597, 0.385)
Rh (0.088, 0.903, 0.385)
Rh (0.412, 0.097, 0.885)
Rh (0.412, 0.403, 0.885)
Rh (0.588, 0.597, 0.115)
Rh (0.588, 0.903, 0.115)
Rh (0.912, 0.097, 0.615)
Rh (0.912, 0.403, 0.615)

Properties
* energy: -199.20 eV per cell

***

Below is crystalline Pm3Ge2Rh3 at its relaxed geometry, with properties calculated at the GGA-PBE level.

Unit cell a=7.728 b=15.254 c=5.708 alpha=90.00 beta=90.00 gamma=90.00
Positions (direct):
Pm (0.026, 0.106, 0.140)
Pm (0.026, 0.394, 0.140)
Pm (0.166, 0.250, 0.612)
Pm (0.334, 0.750, 0.112)
Pm (0.474, 0.606, 0.640)
Pm (0.474, 0.894, 0.640)
Pm (0.526, 0.106, 0.360)
Pm (0.526, 0.394, 0.360)
Pm (0.666, 0.250, 0.888)
Pm (0.834, 0.750, 0.388)
Pm (0.974, 0.606, 0.860)
Pm (0.974, 0.894, 0.860)
Ge (0.123, 0.605, 0.363)
Ge (0.123, 0.895, 0.363)
Ge (0.377, 0.105, 0.863)
Ge (0.377, 0.395, 0.863)
Ge (0.623, 0.605, 0.137)
Ge (0.623, 0.895, 0.137)
Ge (0.877, 0.105, 0.637)
Ge (0.877, 0.395, 0.637)
Rh (0.168, 0.035, 0.594)
Rh (0.168, 0.465, 0.594)
Rh (0.185, 0.750, 0.603)
Rh (0.315, 0.250, 0.103)
Rh (0.332, 0.535, 0.094)
Rh (0.332, 0.965, 0.094)
Rh (0.668, 0.035, 0.906)
Rh (0.668, 0.465, 0.906)
Rh (0.685, 0.750, 0.897)
Rh (0.815, 0.250, 0.397)
Rh (0.832, 0.535, 0.406)
Rh (0.832, 0.965, 0.406)

Properties
* energy: -210.53 eV per cell

***

Below is crystalline Pm5GeRh4 at its relaxed geometry, with properties calculated at the GGA-PBE level.

Unit cell a=3.488 b=3.488 c=18.349 alpha=90.00 beta=90.00 gamma=90.00
Positions (direct):
Pm (0.000, 0.000, 0.000)
Pm (0.000, 0.000, 0.195)
Pm (0.000, 0.000, 0.389)
Pm (0.000, 0.000, 0.611)
Pm (0.000, 0.000, 0.805)
Ge (0.500, 0.500, 0.500)
Rh (0.500, 0.500, 0.097)
Rh (0.500, 0.500, 0.291)
Rh (0.500, 0.500, 0.709)
Rh (0.500, 0.500, 0.903)

Properties
* energy: -64.49 eV per cell

***

Below is crystalline Pm3Ge8Rh3 at its relaxed geometry, with properties calculated at the GGA-PBE level.

Unit cell a=8.188 b=8.188 c=8.752 alpha=117.00 beta=117.00 gamma=31.54
Positions (direct):
Pm (0.000, 0.000, 0.000)
Pm (0.291, 0.291, 0.334)
Pm (0.709, 0.709, 0.666)
Ge (0.123, 0.123, 0.397)
Ge (0.142, 0.142, 0.855)
Ge (0.366, 0.366, 0.754)
Ge (0.481, 0.481, 0.303)
Ge (0.519, 0.519, 0.697)
Ge (0.634, 0.634, 0.246)
Ge (0.858, 0.858, 0.145)
Ge (0.877, 0.877, 0.603)
Rh (0.000, 0.000, 0.500)
Rh (0.320, 0.320, 0.988)
Rh (0.680, 0.680, 0.012)

Properties
* energy: -81.63 eV per cell

***

Below is crystalline Pm2GeRh6 at its relaxed geometry, with properties calculated at the GGA-PBE level.

Unit cell a=7.616 b=7.616 c=3.115 alpha=90.00 beta=90.00 gamma=120.00
Positions (direct):
Pm (0.333, 0.667, 0.000)
Pm (0.667, 0.333, 0.000)
Ge (0.000, 0.000, 0.500)
Rh (0.000, 0.361, 0.500)
Rh (0.000, 0.744, 0.000)
Rh (0.256, 0.256, 0.000)
Rh (0.361, 0.000, 0.500)
Rh (0.639, 0.639, 0.500)
Rh (0.744, 0.000, 0.000)

Properties
* energy: -60.33 eV per cell

***

Below is crystalline Pm12GeRh6 at its relaxed geometry, with properties calculated at the GGA-PBE level.

Unit cell a=8.722 b=8.722 c=8.722 alpha=109.47 beta=109.47 gamma=109.47
Positions (direct):
Pm (0.116, 0.815, 0.301)
Pm (0.185, 0.301, 0.486)
Pm (0.185, 0.699, 0.884)
Pm (0.301, 0.116, 0.815)
Pm (0.301, 0.486, 0.185)
Pm (0.486, 0.185, 0.301)
Pm (0.514, 0.815, 0.699)
Pm (0.699, 0.514, 0.815)
Pm (0.699, 0.884, 0.185)
Pm (0.815, 0.301, 0.116)
Pm (0.815, 0.699, 0.514)
Pm (0.884, 0.185, 0.699)
Ge (0.000, 0.000, 0.000)
Rh (0.133, 0.633, 0.500)
Rh (0.367, 0.500, 0.867)
Rh (0.500, 0.133, 0.633)
Rh (0.500, 0.867, 0.367)
Rh (0.633, 0.500, 0.133)
Rh (0.867, 0.367, 0.500)

Properties
* energy: -115.92 eV per cell

***

Below is crystalline Pm3Ge8Rh3 at its relaxed geometry, with properties calculated at the GGA-PBE level.

Unit cell a=8.359 b=8.359 c=8.359 alpha=150.79 beta=101.80 gamma=85.56
Positions (direct):
Pm (0.000, 0.000, 0.000)
Pm (0.316, 0.316, 0.000)
Pm (0.684, 0.684, 0.000)
Ge (0.029, 0.658, 0.371)
Ge (0.177, 0.878, 0.298)
Ge (0.287, 0.658, 0.629)
Ge (0.420, 0.122, 0.298)
Ge (0.580, 0.878, 0.702)
Ge (0.713, 0.342, 0.371)
Ge (0.823, 0.122, 0.702)
Ge (0.971, 0.342, 0.629)
Rh (0.289, 0.500, 0.789)
Rh (0.500, 0.000, 0.500)
Rh (0.711, 0.500, 0.211)

Properties
* energy: -81.19 eV per cell

***

Below is crystalline Pm2Ge3Rh5 at its relaxed geometry, with properties calculated at the GGA-PBE level.

Unit cell a=8.651 b=8.651 c=8.651 alpha=112.63 beta=81.00 gamma=140.51
Positions (direct):
Pm (0.140, 0.238, 0.377)
Pm (0.360, 0.738, 0.098)
Pm (0.640, 0.262, 0.902)
Pm (0.860, 0.762, 0.623)
Ge (0.107, 0.645, 0.751)
Ge (0.250, 0.250, 0.000)
Ge (0.393, 0.145, 0.538)
Ge (0.607, 0.855, 0.462)
Ge (0.750, 0.750, 0.000)
Ge (0.893, 0.355, 0.249)
Rh (0.034, 0.750, 0.284)
Rh (0.128, 0.894, 0.022)
Rh (0.250, 0.750, 0.500)
Rh (0.372, 0.394, 0.765)
Rh (0.466, 0.750, 0.716)
Rh (0.534, 0.250, 0.284)
Rh (0.628, 0.606, 0.235)
Rh (0.750, 0.250, 0.500)
Rh (0.872, 0.106, 0.978)
Rh (0.966, 0.250, 0.716)

Properties
* energy: -135.58 eV per cell

***

Below is crystalline Pm6GeRh3 at its relaxed geometry, with properties calculated at the GGA-PBE level.

Unit cell a=11.575 b=4.193 c=11.969 alpha=90.00 beta=108.39 gamma=90.00
Positions (direct):
Pm (0.031, 0.250, 0.390)
Pm (0.105, 0.250, 0.940)
Pm (0.231, 0.750, 0.272)
Pm (0.302, 0.750, 0.763)
Pm (0.377, 0.250, 0.539)
Pm (0.423, 0.750, 0.101)
Pm (0.577, 0.250, 0.899)
Pm (0.623, 0.750, 0.461)
Pm (0.698, 0.250, 0.237)
Pm (0.769, 0.250, 0.728)
Pm (0.895, 0.750, 0.060)
Pm (0.969, 0.750, 0.610)
Ge (0.453, 0.250, 0.310)
Ge (0.547, 0.750, 0.690)
Rh (0.060, 0.250, 0.165)
Rh (0.186, 0.750, 0.504)
Rh (0.346, 0.250, 0.924)
Rh (0.654, 0.750, 0.076)
Rh (0.814, 0.250, 0.496)
Rh (0.940, 0.750, 0.835)

Properties
* energy: -122.41 eV per cell

***

Below is crystalline PmGe2Rh4 at its relaxed geometry, with properties calculated at the GGA-PBE level.

Unit cell a=16.992 b=4.175 c=6.566 alpha=90.00 beta=90.00 gamma=90.00
Positions (direct):
Pm (0.138, 0.250, 0.004)
Pm (0.362, 0.750, 0.504)
Pm (0.638, 0.250, 0.496)
Pm (0.862, 0.750, 0.996)
Ge (0.038, 0.750, 0.264)
Ge (0.217, 0.250, 0.523)
Ge (0.283, 0.750, 0.023)
Ge (0.462, 0.250, 0.764)
Ge (0.538, 0.750, 0.236)
Ge (0.717, 0.250, 0.977)
Ge (0.783, 0.750, 0.477)
Ge (0.962, 0.250, 0.736)
Rh (0.031, 0.750, 0.859)
Rh (0.074, 0.250, 0.492)
Rh (0.185, 0.750, 0.312)
Rh (0.194, 0.750, 0.728)
Rh (0.306, 0.250, 0.228)
Rh (0.315, 0.250, 0.812)
Rh (0.426, 0.750, 0.992)
Rh (0.469, 0.250, 0.359)
Rh (0.531, 0.750, 0.641)
Rh (0.574, 0.250, 0.008)
Rh (0.685, 0.750, 0.188)
Rh (0.694, 0.750, 0.772)
Rh (0.806, 0.250, 0.272)
Rh (0.815, 0.250, 0.688)
Rh (0.926, 0.750, 0.508)
Rh (0.969, 0.250, 0.141)

Properties
* energy: -192.27 eV per cell

***

Below is crystalline Pm3Ge2Rh6 at its relaxed geometry, with properties calculated at the GGA-PBE level.

Unit cell a=8.122 b=8.122 c=8.122 alpha=109.47 beta=109.47 gamma=109.47
Positions (direct):
Pm (0.000, 0.284, 0.284)
Pm (0.000, 0.716, 0.716)
Pm (0.284, 0.000, 0.284)
Pm (0.284, 0.284, 0.000)
Pm (0.716, 0.000, 0.716)
Pm (0.716, 0.716, 0.000)
Ge (0.000, 0.000, 0.500)
Ge (0.000, 0.500, 0.000)
Ge (0.500, 0.000, 0.000)
Ge (0.500, 0.500, 0.500)
Rh (0.000, 0.345, 0.655)
Rh (0.000, 0.655, 0.345)
Rh (0.311, 0.655, 0.655)
Rh (0.345, 0.000, 0.655)
Rh (0.345, 0.345, 0.689)
Rh (0.345, 0.655, 0.000)
Rh (0.345, 0.689, 0.345)
Rh (0.655, 0.000, 0.345)
Rh (0.655, 0.311, 0.655)
Rh (0.655, 0.345, 0.000)
Rh (0.655, 0.655, 0.311)
Rh (0.689, 0.345, 0.345)

Properties
* energy: -150.22 eV per cell

***

Below is crystalline Pm2Ge4Rh3 at its relaxed geometry, with properties calculated at the GGA-PBE level.

Unit cell a=8.102 b=8.102 c=7.476 alpha=90.00 beta=90.00 gamma=138.17
Positions (direct):
Pm (0.110, 0.890, 0.907)
Pm (0.390, 0.610, 0.407)
Pm (0.610, 0.390, 0.593)
Pm (0.890, 0.110, 0.093)
Ge (0.183, 0.817, 0.525)
Ge (0.191, 0.309, 0.750)
Ge (0.309, 0.191, 0.250)
Ge (0.317, 0.683, 0.025)
Ge (0.683, 0.317, 0.975)
Ge (0.691, 0.809, 0.750)
Ge (0.809, 0.691, 0.250)
Ge (0.817, 0.183, 0.475)
Rh (0.000, 0.000, 0.500)
Rh (0.024, 0.476, 0.750)
Rh (0.476, 0.024, 0.250)
Rh (0.500, 0.500, 0.000)
Rh (0.524, 0.976, 0.750)
Rh (0.976, 0.524, 0.250)

Properties
* energy: -114.71 eV per cell

***

Below is crystalline Pm6Ge3Rh at its relaxed geometry, with properties calculated at the GGA-PBE level.

Unit cell a=8.601 b=8.601 c=8.601 alpha=99.92 beta=99.92 gamma=99.92
Positions (direct):
Pm (0.046, 0.681, 0.934)
Pm (0.066, 0.954, 0.319)
Pm (0.186, 0.426, 0.565)
Pm (0.319, 0.066, 0.954)
Pm (0.426, 0.565, 0.186)
Pm (0.435, 0.814, 0.574)
Pm (0.565, 0.186, 0.426)
Pm (0.574, 0.435, 0.814)
Pm (0.681, 0.934, 0.046)
Pm (0.814, 0.574, 0.435)
Pm (0.934, 0.046, 0.681)
Pm (0.954, 0.319, 0.066)
Ge (0.123, 0.623, 0.298)
Ge (0.298, 0.123, 0.623)
Ge (0.377, 0.702, 0.877)
Ge (0.623, 0.298, 0.123)
Ge (0.702, 0.877, 0.377)
Ge (0.877, 0.377, 0.702)
Rh (0.000, 0.000, 0.000)
Rh (0.500, 0.500, 0.500)

Properties
* energy: -110.47 eV per cell

***

Below is crystalline Pm4GeRh4 at its relaxed geometry, with properties calculated at the GGA-PBE level.

Unit cell a=8.583 b=5.642 c=12.135 alpha=90.00 beta=134.95 gamma=90.00
Positions (direct):
Pm (0.150, 0.107, 0.187)
Pm (0.150, 0.893, 0.687)
Pm (0.275, 0.393, 0.962)
Pm (0.275, 0.607, 0.462)
Pm (0.725, 0.393, 0.538)
Pm (0.725, 0.607, 0.038)
Pm (0.850, 0.107, 0.313)
Pm (0.850, 0.893, 0.813)
Ge (0.500, 0.250, 0.750)
Ge (0.500, 0.750, 0.250)
Rh (0.155, 0.399, 0.643)
Rh (0.155, 0.601, 0.143)
Rh (0.368, 0.101, 0.512)
Rh (0.368, 0.899, 0.012)
Rh (0.632, 0.101, 0.988)
Rh (0.632, 0.899, 0.488)
Rh (0.845, 0.399, 0.857)
Rh (0.845, 0.601, 0.357)

Properties
* energy: -117.97 eV per cell

***

Below is crystalline Pm2Ge4Rh5 at its relaxed geometry, with properties calculated at the GGA-PBE level.

Unit cell a=8.796 b=7.868 c=5.632 alpha=79.43 beta=61.56 gamma=39.01
Positions (direct):
Pm (0.128, 0.128, 0.872)
Pm (0.872, 0.872, 0.128)
Ge (0.213, 0.525, 0.475)
Ge (0.475, 0.787, 0.213)
Ge (0.525, 0.213, 0.787)
Ge (0.787, 0.475, 0.525)
Rh (0.000, 0.000, 0.500)
Rh (0.250, 0.250, 0.250)
Rh (0.500, 0.500, 0.000)
Rh (0.500, 0.500, 0.500)
Rh (0.750, 0.750, 0.750)

Properties
* energy: -73.39 eV per cell

***

Below is crystalline Pm6Ge2Rh at its relaxed geometry, with properties calculated at the GGA-PBE level.

Unit cell a=8.681 b=8.681 c=8.681 alpha=146.85 beta=131.56 gamma=59.95
Positions (direct):
Pm (0.083, 0.339, 0.744)
Pm (0.243, 0.000, 0.243)
Pm (0.405, 0.661, 0.744)
Pm (0.595, 0.339, 0.256)
Pm (0.757, 0.000, 0.757)
Pm (0.917, 0.661, 0.256)
Ge (0.331, 0.831, 0.500)
Ge (0.669, 0.169, 0.500)
Rh (0.000, 0.500, 0.500)

Properties
* energy: -49.44 eV per cell

***

| no. | energy relative to the elements (eV/atom) | size of the total moment (μB per atom) |
| --- | --- | --- |
| 1 | -0.874 | 0.000 |
| 2 | -0.887 | 0.000 |
| 3 | -0.671 | 0.000 |
| 4 | -0.599 | 0.000 |
| 5 | -0.233 | 0.000 |
| 6 | -0.536 | 0.000 |
| 7 | -0.567 | 0.000 |
| 8 | -0.768 | 0.000 |
| 9 | -0.603 | 0.000 |
| 10 | -0.668 | 0.000 |
| 11 | -0.683 | 0.000 |
| 12 | -0.814 | 0.000 |
| 13 | -0.553 | 0.000 |
| 14 | -0.662 | 0.000 |
| 15 | -0.788 | 0.000 |
| 16 | -0.483 | 0.000 |